# PBE Sm2HgBi, relaxed
data_Sm2HgBi
_cell_length_a 4.4097
_cell_length_b 4.4097
_cell_length_c 22.9268
_cell_angle_alpha 90.00
_cell_angle_beta 90.00
_cell_angle_gamma 120.00
_symmetry_space_group_name_H-M 'R -3 m'
_symmetry_Int_Tables_number 166
_symmetry_space_group_name_Hall '-R 3 2"'
loop_
_atom_site_label
_atom_site_type_symbol
_atom_site_fract_x
_atom_site_fract_y
_atom_site_fract_z
Sm1 Sm 0.0000 0.0000 0.2489
Hg1 Hg 0.0000 0.0000 0.0000
Bi1 Bi 0.0000 0.0000 0.5000
# Polymorph energy (0 for the lowest one) = 62 meV per atom
# D(E_F) = 1.090 states/eV/atom
# Total moment = 0.00 μB/f.u.
# Mass density = 9.16 Mg/m³